Record 1
The following is a PBE calculation of a relaxed structure of GdTmCuAu, from Alexandria via LeMat-Bulk.

abc: 5.0102 5.0102 5.0102
angles: 60.00 60.00 60.00
Closest atoms and distances in Å follow each position.
Sites, in units of the cell vectors:
Gd1 0.0000 0.0000 0.0000  4 Cu 3.07, 4 Au 3.07
Tm1 0.5000 0.5000 0.5000  4 Au 3.07, 4 Cu 3.07
Au1 0.7500 0.7500 0.7500  4 Tm 3.07, 4 Gd 3.07
Cu1 0.2500 0.2500 0.2500  4 Tm 3.07, 4 Gd 3.07

Computed properties:
The space group is F-43m (216). For the theoretical density, the calculation gives 10.95 g cm⁻³. The formation enthalpy at 0 K is -12.5 kcal/mol of atoms. The total DFT energy (no corrections) comes out at -28.09 eV per cell.

---

Record 2
The following is a PBE calculation of a relaxed structure of GdYCuAu, from Alexandria via LeMat-Bulk.

abc: 5.0512 5.0512 5.0512
angles: 60.00 60.00 60.00
Closest atoms and distances in Å follow each position.
Sites, in units of the cell vectors:
Y1 0.0000 0.0000 0.0000  4 Cu 3.09, 4 Au 3.09
Gd1 0.5000 0.5000 0.5000  4 Cu 3.09, 4 Au 3.09
Au1 0.2500 0.2500 0.2500  4 Gd 3.09, 4 Y 3.09
Cu1 0.7500 0.7500 0.7500  4 Y 3.09, 4 Gd 3.09

Computed properties:
The space group is F-43m (216). For the theoretical density, the calculation gives 9.23 g cm⁻³. The formation enthalpy at 0 K is -12.1 kcal/mol of atoms. The total DFT energy (no corrections) comes out at -30.02 eV per cell.

---

Record 3
The following is a PBE calculation of a relaxed structure of Cu5GeAu2, from Alexandria via LeMat-Bulk.

abc: 4.2292 4.2292 6.9389
angles: 107.74 107.74 90.00
Closest atoms and distances in Å follow each position.
Sites, in units of the cell vectors:
Cu1 0.5000 0.5000 0.0000  8 Cu 2.54
Cu2 0.8882 0.3882 0.7764  3 Cu 2.54-2.80, 2 Ge 2.54, 4 Au 2.70-2.76
Cu3 0.3882 0.8882 0.7764  2 Ge 2.54, 3 Cu 2.54-2.80, 4 Au 2.70-2.76
Cu4 0.1118 0.6118 0.2236  3 Cu 2.54-2.80, 2 Ge 2.54, 4 Au 2.70-2.76
Cu5 0.6118 0.1118 0.2236  2 Ge 2.54, 3 Cu 2.54-2.80, 4 Au 2.70-2.76
Ge1 0.0000 0.0000 0.0000  8 Cu 2.54
Au1 0.7460 0.7460 0.4920  8 Cu 2.70-2.76, 4 Au 2.99
Au2 0.2540 0.2540 0.5080  8 Cu 2.70-2.76, 4 Au 2.99

Computed properties:
The space group is I4/mmm (139). For the theoretical density, the calculation gives 11.63 g cm⁻³. The formation enthalpy at 0 K is -0.4 kcal/mol of atoms. The total DFT energy (no corrections) comes out at -31.79 eV per cell. The value obtained for the relative energy among the computed polymorphs is 0.000 eV per atom.

---

Record 4
The following is a PBE calculation of a relaxed structure of Cu2Ge2Au, from Alexandria via LeMat-Bulk.

abc: 3.7919 3.7919 6.3479
angles: 72.62 72.62 90.00
Closest atoms and distances in Å follow each position.
Sites, in units of the cell vectors:
Ge1 0.3929 0.3929 0.2142  1 Ge 2.46, 4 Cu 2.51
Ge2 0.6071 0.6071 0.7858  1 Ge 2.46, 4 Cu 2.51
Au1 0.0000 0.0000 0.0000  8 Ge 2.95
Cu1 0.7500 0.2500 0.5000  4 Ge 2.51, 4 Cu 2.68
Cu2 0.2500 0.7500 0.5000  4 Ge 2.51, 4 Cu 2.68

Computed properties:
The space group is I4/mmm (139). For the theoretical density, the calculation gives 9.42 g cm⁻³. The formation enthalpy at 0 K is 5.6 kcal/mol of atoms. The total DFT energy (no corrections) comes out at -19.48 eV per cell. The value obtained for the relative energy among the computed polymorphs is 0.118 eV per atom.

---

Record 5
The following is a PBE calculation of a relaxed structure of Cu6GeAu12, from Alexandria via LeMat-Bulk.

abc: 6.9711 7.5473 7.5473
angles: 69.03 72.07 107.93
Closest atoms and distances in Å follow each position.
Sites, in units of the cell vectors:
Cu1 0.4206 0.4675 0.2176  9 Au 2.72-3.02, 3 Cu 2.80-2.92
Cu2 0.0470 0.6852 0.5325  9 Au 2.72-3.02, 3 Cu 2.80-2.92
Cu3 0.3618 0.7824 0.6852  9 Au 2.72-3.02, 3 Cu 2.80-2.92
Cu4 0.5794 0.5325 0.7824  9 Au 2.72-3.02, 3 Cu 2.80-2.92
Cu5 0.9530 0.3148 0.4675  9 Au 2.72-3.02, 3 Cu 2.80-2.92
Cu6 0.6382 0.2176 0.3148  9 Au 2.72-3.02, 3 Cu 2.80-2.92
Ge1 0.0000 0.0000 0.0000  12 Au 2.91-2.93
Au1 0.5226 0.8571 0.2743  4 Cu 2.72-3.02, 7 Au 2.80-3.01, 1 Ge 2.91
Au2 0.6655 0.8686 0.8571  4 Cu 2.72-3.02, 7 Au 2.80-3.01, 1 Ge 2.91
Au3 0.7969 0.2743 0.8686  4 Cu 2.72-3.02, 7 Au 2.80-3.01, 1 Ge 2.91
Au4 0.4774 0.1429 0.7257  4 Cu 2.72-3.02, 7 Au 2.80-3.01, 1 Ge 2.91
Au5 0.3345 0.1314 0.1429  4 Cu 2.72-3.02, 7 Au 2.80-3.01, 1 Ge 2.91
Au6 0.2031 0.7257 0.1314  4 Cu 2.72-3.02, 7 Au 2.80-3.01, 1 Ge 2.91
Au7 0.2659 0.4325 0.6211  5 Cu 2.77-2.85, 6 Au 2.80-3.01, 1 Ge 2.93
Au8 0.1130 0.3789 0.0536  5 Cu 2.77-2.85, 6 Au 2.80-3.01, 1 Ge 2.93
Au9 0.1666 0.0536 0.5675  5 Cu 2.77-2.85, 6 Au 2.80-3.01, 1 Ge 2.93
Au10 0.7341 0.5675 0.3789  5 Cu 2.77-2.85, 6 Au 2.80-3.01, 1 Ge 2.93
Au11 0.8870 0.6211 0.9464  5 Cu 2.77-2.85, 6 Au 2.80-3.01, 1 Ge 2.93
Au12 0.8334 0.9464 0.4325  5 Cu 2.77-2.85, 6 Au 2.80-3.01, 1 Ge 2.93

Computed properties:
The space group is R-3 (148). For the theoretical density, the calculation gives 15.03 g cm⁻³. The formation enthalpy at 0 K is 0.2 kcal/mol of atoms. The total DFT energy (no corrections) comes out at -68.33 eV per cell. The value obtained for the relative energy among the computed polymorphs is 0.000 eV per atom.

---

Record 6
The following is a PBE calculation of a relaxed structure of Cu2GeAu, from Alexandria via LeMat-Bulk.

abc: 3.8255 3.9311 3.9311
angles: 90.00 90.00 90.00
Closest atoms and distances in Å follow each position.
Sites, in units of the cell vectors:
Ge1 0.5000 0.0000 0.0000  8 Cu 2.74, 4 Au 2.78
Au1 0.5000 0.5000 0.5000  8 Cu 2.74, 4 Ge 2.78
Cu1 0.0000 0.0000 0.5000  4 Ge 2.74, 4 Au 2.74, 4 Cu 2.78
Cu2 0.0000 0.5000 0.0000  4 Ge 2.74, 4 Au 2.74, 4 Cu 2.78

Computed properties:
The space group is P4/mmm (123). For the theoretical density, the calculation gives 11.14 g cm⁻³. The formation enthalpy at 0 K is 1.1 kcal/mol of atoms. The total DFT energy (no corrections) comes out at -15.89 eV per cell.

---

Record 7
The following is a PBE calculation of a relaxed structure of Cu5Ge2Au, from Alexandria via LeMat-Bulk.

abc: 5.5283 5.5283 5.3490
angles: 121.12 121.12 90.00
Closest atoms and distances in Å follow each position.
Sites, in units of the cell vectors:
Cu1 0.7216 0.2227 0.9443  2 Au 2.67-2.68, 4 Ge 2.67, 6 Cu 2.67-2.77
Cu2 0.2227 0.2227 0.9443  2 Au 2.67-2.68, 4 Ge 2.67, 6 Cu 2.67-2.77
Cu3 0.7216 0.7216 0.9443  2 Au 2.67-2.68, 4 Ge 2.67, 6 Cu 2.67-2.77
Cu4 0.2227 0.7216 0.9443  2 Au 2.67-2.68, 4 Ge 2.67, 6 Cu 2.67-2.77
Cu5 0.7228 0.7228 0.4457  8 Cu 2.67, 4 Ge 2.76
Ge1 0.2221 0.7221 0.4442  10 Cu 2.67-2.76, 2 Au 2.76
Ge2 0.7221 0.2221 0.4442  10 Cu 2.67-2.76, 2 Au 2.76
Au1 0.2213 0.2213 0.4426  8 Cu 2.67-2.68, 4 Ge 2.76

Computed properties:
The space group is I4mm (107). For the theoretical density, the calculation gives 9.82 g cm⁻³. The formation enthalpy at 0 K is 1.0 kcal/mol of atoms. The total DFT energy (no corrections) comes out at -32.63 eV per cell.

---

Record 8
The following is a PBE calculation of a relaxed structure of CuGeAu, from Alexandria via LeMat-Bulk.

abc: 2.9457 4.3748 4.3748
angles: 120.00 90.00 90.00
Closest atoms and distances in Å follow each position.
Sites, in units of the cell vectors:
Ge1 0.0824 0.0000 0.0000  3 Cu 2.56, 3 Au 2.77
Au1 0.6955 0.6667 0.3333  3 Ge 2.77, 6 Cu 2.89-2.96, 2 Au 2.95
Cu1 0.2221 0.3333 0.6667  3 Ge 2.56

Computed properties:
The space group is P3m1 (156). For the theoretical density, the calculation gives 11.33 g cm⁻³. The formation enthalpy at 0 K is 3.4 kcal/mol of atoms. The total DFT energy (no corrections) comes out at -11.54 eV per cell. The value obtained for the relative energy among the computed polymorphs is 0.128 eV per atom.